A plane-wave DFT calculation with GGA-PBE was carried out for a relaxed ScCr2In crystal.

Geometry as CIF:
```
data_ScCr2In
_chemical_formula_sum 'Sc1 Cr2 In1'
_symmetry_space_group_name_H-M 'P m m 2'
_symmetry_Int_Tables_number 25
_cell_length_a 3.0418
_cell_length_b 4.0715
_cell_length_c 5.8039
_cell_angle_alpha 90.00
_cell_angle_beta 90.00
_cell_angle_gamma 90.00
loop_
_symmetry_equiv_pos_as_xyz
'x,y,z'
'-x,-y,z'
'-x,y,z'
'x,-y,z'
loop_
_atom_site_label
_atom_site_type_symbol
_atom_site_fract_x
_atom_site_fract_y
_atom_site_fract_z
Sc1 Sc 0.0000 0.0000 0.0000
Cr1 Cr 0.0000 0.0000 0.4634
Cr2 Cr 0.5000 0.5000 0.2284
In1 In 0.5000 0.5000 0.7068
```

Results
Crystal system = orthorhombic
DFT total energy = -26.84 eV per cell
Density of states at the Fermi level = 4.51 states/eV/f.u.
ΔH_f (0 K) = 0.3683 eV/atom